A relaxed structure of BaErNb. Source: the Open Quantum Materials Database, functional PBE-GGA.

Results
- Relative energy among the computed polymorphs: 494 meV per atom
- E: -0.286 Ry/atom

```
BaErNb
1.0
0.000 3.669 3.669
3.669 0.000 3.669
3.669 3.669 0.000
Ba Er Nb
1 1 1
Cartesian
0.000 0.000 0.000
1.834 1.834 1.834
5.503 5.503 5.503
```

A relaxed structure of BaErNb. Source: the Open Quantum Materials Database, functional PBE-GGA.

Results
- Relative energy among the computed polymorphs: 0 meV per atom
- E: -0.322 Ry/atom

```
BaErNb
1.0
-4.446 -2.811 1.082
-4.829 2.269 -0.617
-3.218 -1.580 -3.999
Ba Er Nb
1 1 1
Cartesian
-3.123 -0.530 -0.884
-9.370 -1.591 -2.651
0.000 0.000 0.000
```

A relaxed structure of Ba2ErNbO6. Source: the Open Quantum Materials Database, functional PBE-GGA.

Results
- E: -0.579 Ry/atom

```
Ba2ErNbO6
1.0
0.000 4.221 4.221
4.221 0.000 4.221
4.221 4.221 0.000
Ba Er Nb O
2 1 1 6
Cartesian
2.110 2.110 2.110
6.331 6.331 6.331
0.000 0.000 0.000
4.221 4.221 4.221
2.208 4.221 4.221
4.221 2.208 4.221
4.221 4.221 6.234
4.221 4.221 2.208
4.221 6.234 4.221
6.234 4.221 4.221
```

A relaxed structure of BaNdEr. Source: the Open Quantum Materials Database, functional PBE-GGA.

Results
- E: -0.218 Ry/atom

```
BaNdEr
1.0
0.000 4.137 4.137
4.137 0.000 4.137
4.137 4.137 0.000
Ba Er Nd
1 1 1
Cartesian
2.069 2.069 2.069
0.000 0.000 0.000
6.206 6.206 6.206
```

A relaxed structure of BaErNp. Source: the Open Quantum Materials Database, functional PBE-GGA.

Results
- Relative energy among the computed polymorphs: 0 meV per atom
- E: -0.373 Ry/atom

```
BaErNp
1.0
3.109 1.416 4.497
-1.127 -2.278 5.043
3.563 -3.752 2.264
Ba Er Np
1 1 1
Cartesian
1.386 -1.153 2.951
0.000 0.000 0.000
4.159 -3.460 8.853
```

A relaxed structure of BaEr2O4. Source: the Open Quantum Materials Database, functional PBE-GGA.

Results
- Relative energy among the computed polymorphs: 11 meV per atom
- E: -0.567 Ry/atom

```
BaEr2O4
1.0
-6.111 -2.798 1.891
1.992 -0.163 -6.690
3.279 -3.971 4.716
Ba Er O
2 4 8
Cartesian
0.000 0.000 0.000
-2.768 -3.172 -0.748
-0.388 -1.668 -3.719
1.252 -3.653 -1.361
0.256 -3.571 1.984
-2.800 -4.970 2.929
-1.977 -3.296 1.622
1.725 -2.230 -3.077
-0.812 -3.392 -2.291
1.128 -2.199 0.388
-0.617 -4.944 3.579
3.315 -3.914 -0.431
2.488 -3.847 2.346
0.779 -5.076 0.354
```

A relaxed structure of BaEr2O4. Source: the Open Quantum Materials Database, functional PBE-GGA.

Results
- Relative energy among the computed polymorphs: 0 meV per atom
- E: -0.568 Ry/atom

```
BaEr2O4
1.0
10.328 0.000 0.000
0.000 3.420 0.000
0.000 0.000 12.007
Ba Er O
4 8 16
Cartesian
7.711 2.565 1.798
2.547 2.565 4.206
7.781 0.855 7.801
2.617 0.855 10.209
4.357 0.855 1.305
0.761 2.565 1.330
5.925 2.565 4.673
9.521 0.855 4.698
0.807 2.565 7.308
4.403 0.855 7.334
9.567 0.855 10.676
5.970 2.565 10.702
6.352 0.855 0.206
9.609 0.855 0.889
2.163 0.855 1.900
4.966 2.565 2.612
10.130 2.565 3.391
7.327 0.855 4.104
4.445 0.855 5.114
1.188 0.855 5.797
9.140 2.565 6.210
5.883 2.565 6.893
3.001 2.565 7.903
0.198 0.855 8.615
5.361 0.855 9.395
8.165 2.565 10.107
0.719 2.565 11.117
3.976 2.565 11.800
```

A relaxed structure of BaErO3. Source: the Open Quantum Materials Database, functional PBE-GGA.

Results
- E: -0.511 Ry/atom

```
BaErO3
1.0
-1.076 -5.971 -0.622
-5.706 -2.123 0.356
-2.849 -2.026 -5.518
Ba Er O
2 2 6
Cartesian
-4.589 -5.319 -0.798
-5.043 -4.801 -4.986
-7.054 -7.784 -2.774
-2.578 -2.337 -3.009
-2.441 -4.248 -1.817
-6.616 -3.759 -1.304
-5.001 -7.619 -1.956
-4.631 -2.502 -3.827
-3.016 -6.362 -4.480
-7.191 -5.872 -3.967
```

What is the formula in the eighth record?
BaErO3